DFT (PBE+U) results for a relaxed LaVF2 crystal.

Output
Total magnetic moment (μB per cell): 15.9
Distance to the lowest polymorph of the same formula (meV per atom): 187

a b c (Å): 5.543 5.543 12.812
angles (deg): 90.00 90.00 90.00
Space group I-42d (No. 122)
Inequivalent atoms, fractional coordinates:
La (0.000, 0.000, 0.000) x4
V (0.000, 0.000, 0.500) x4
F (0.167, 0.250, 0.125) x8